Entry 1:
Here is crystalline DyEr2Al at its relaxed geometry from Alexandria. Energies are from PBE-GGA.

Cell lengths 3.488, 3.488, 8.935 Å; angles 90.00, 90.00, 90.00 degrees
Atoms (fractional coordinates):
Dy 0.000 0.000 0.000
Er 0.500 0.500 0.286
Er 0.500 0.500 0.714
Al 0.000 0.000 0.500

## Properties
Crystal system ... tetragonal
Calculated formation energy ... -0.194 eV per atom
Space-group type ... No. 123
DFT total energy ... -4.561 eV/atom
Distance to the lowest polymorph of the same formula ... 0.006 eV per atom

Entry 2:
Here is crystalline DyEr3Al4 at its relaxed geometry from Alexandria. Energies are from PBE-GGA.

Cell lengths 10.112, 7.145, 5.056 Å; angles 90.00, 90.00, 90.00 degrees
Atoms (fractional coordinates):
Dy 0.000 0.000 0.000
Dy 0.500 0.000 0.000
Er 0.000 0.500 0.000
Er 0.250 0.000 0.499
Er 0.250 0.500 0.499
Er 0.500 0.500 0.000
Er 0.750 0.000 0.501
Er 0.750 0.500 0.501
Al 0.000 0.252 0.500
Al 0.000 0.748 0.500
Al 0.250 0.252 0.998
Al 0.250 0.748 0.998
Al 0.500 0.252 0.500
Al 0.500 0.748 0.500
Al 0.750 0.252 0.002
Al 0.750 0.748 0.002

## Properties
Crystal system ... orthorhombic
Calculated formation energy ... -0.395 eV per atom
Space-group type ... No. 51
DFT total energy ... -4.553 eV/atom

Entry 3:
Here is crystalline DyEr4Al2 at its relaxed geometry from Alexandria. Energies are from PBE-GGA.

Cell lengths 6.049, 10.304, 6.697 Å; angles 90.00, 112.26, 90.00 degrees
Atoms (fractional coordinates):
Dy 0.000 0.000 0.000
Dy 0.000 0.500 0.500
Er 0.003 0.162 0.499
Er 0.003 0.338 0.999
Er 0.497 0.712 0.499
Er 0.497 0.788 0.999
Er 0.503 0.212 0.001
Er 0.503 0.288 0.501
Er 0.997 0.662 0.001
Er 0.997 0.838 0.501
Al 0.473 0.501 0.182
Al 0.473 0.999 0.682
Al 0.527 0.001 0.318
Al 0.527 0.499 0.818

## Properties
Crystal system ... monoclinic
Calculated formation energy ... -0.080 eV per atom
Space-group type ... No. 14
DFT total energy ... -4.414 eV/atom
Distance to the lowest polymorph of the same formula ... 0.000 eV per atom

Entry 4:
Here is crystalline Dy4Er9Al11 at its relaxed geometry from Alexandria. Energies are from PBE-GGA.

Cell lengths 13.506, 13.506, 3.331 Å; angles 90.00, 90.00, 111.28 degrees
Atoms (fractional coordinates):
Dy 0.095 0.260 0.000
Dy 0.260 0.095 0.000
Dy 0.740 0.905 0.000
Dy 0.905 0.740 0.000
Er 0.000 0.000 0.000
Er 0.112 0.664 0.000
Er 0.296 0.490 0.000
Er 0.336 0.888 0.000
Er 0.490 0.296 0.000
Er 0.510 0.704 0.000
Er 0.664 0.112 0.000
Er 0.704 0.510 0.000
Er 0.888 0.336 0.000
Al 0.088 0.462 0.500
Al 0.121 0.879 0.500
Al 0.303 0.303 0.500
Al 0.311 0.689 0.500
Al 0.462 0.088 0.500
Al 0.500 0.500 0.500
Al 0.538 0.912 0.500
Al 0.689 0.311 0.500
Al 0.697 0.697 0.500
Al 0.879 0.121 0.500
Al 0.912 0.538 0.500

## Properties
Crystal system ... orthorhombic
Calculated formation energy ... -0.327 eV per atom
Space-group type ... No. 65
DFT total energy ... -4.520 eV/atom

Entry 5:
Here is crystalline Dy2ErAl2Ga2 at its relaxed geometry from Alexandria. Energies are from PBE-GGA.

Cell lengths 10.853, 10.853, 10.853 Å; angles 22.63, 22.63, 22.63 degrees
Atoms (fractional coordinates):
Dy 0.125 0.125 0.125
Dy 0.875 0.875 0.875
Er 0.000 0.000 0.000
Al 0.392 0.392 0.392
Al 0.608 0.608 0.608
Ga 0.263 0.263 0.263
Ga 0.737 0.737 0.737

## Properties
Crystal system ... trigonal
Calculated formation energy ... -0.375 eV per atom
Space-group type ... No. 166
DFT total energy ... -4.276 eV/atom

Entry 6:
Here is crystalline DyErAlGa at its relaxed geometry from Alexandria. Energies are from PBE-GGA.

Cell lengths 4.047, 5.899, 5.899 Å; angles 43.69, 90.00, 90.00 degrees
Atoms (fractional coordinates):
Dy 0.000 0.000 0.000
Er 0.500 0.281 0.281
Al 0.000 0.713 0.713
Ga 0.500 0.562 0.562

## Properties
Crystal system ... orthorhombic
Calculated formation energy ... -0.509 eV per atom
Space-group type ... No. 38
DFT total energy ... -4.492 eV/atom
Distance to the lowest polymorph of the same formula ... 0.000 eV per atom

Entry 7:
Here is crystalline DyEr2Al2Ga2 at its relaxed geometry from Alexandria. Energies are from PBE-GGA.

Cell lengths 10.216, 10.216, 10.216 Å; angles 24.51, 24.51, 24.51 degrees
Atoms (fractional coordinates):
Dy 0.000 0.000 0.000
Er 0.127 0.127 0.127
Er 0.873 0.873 0.873
Al 0.394 0.394 0.394
Al 0.606 0.606 0.606
Ga 0.259 0.259 0.259
Ga 0.741 0.741 0.741

## Properties
Crystal system ... trigonal
Calculated formation energy ... -0.371 eV per atom
Space-group type ... No. 166
DFT total energy ... -4.267 eV/atom

Entry 8:
Here is crystalline DyErAlGa at its relaxed geometry from Alexandria. Energies are from PBE-GGA.

Cell lengths 5.056, 5.056, 5.056 Å; angles 60.00, 60.00, 60.00 degrees
Atoms (fractional coordinates):
Dy 0.000 0.000 0.000
Er 0.500 0.500 0.500
Al 0.750 0.750 0.750
Ga 0.250 0.250 0.250

## Properties
Crystal system ... cubic
Calculated formation energy ... -0.478 eV per atom
Space-group type ... No. 216
DFT total energy ... -4.462 eV/atom
Distance to the lowest polymorph of the same formula ... 0.031 eV per atom

Number 5 is which compound?
Dy2ErAl2Ga2

Copy entry 3 word for word.
Here is crystalline DyEr4Al2 at its relaxed geometry from Alexandria. Energies are from PBE-GGA.

Cell lengths 6.049, 10.304, 6.697 Å; angles 90.00, 112.26, 90.00 degrees
Atoms (fractional coordinates):
Dy 0.000 0.000 0.000
Dy 0.000 0.500 0.500
Er 0.003 0.162 0.499
Er 0.003 0.338 0.999
Er 0.497 0.712 0.499
Er 0.497 0.788 0.999
Er 0.503 0.212 0.001
Er 0.503 0.288 0.501
Er 0.997 0.662 0.001
Er 0.997 0.838 0.501
Al 0.473 0.501 0.182
Al 0.473 0.999 0.682
Al 0.527 0.001 0.318
Al 0.527 0.499 0.818

## Properties
Crystal system ... monoclinic
Calculated formation energy ... -0.080 eV per atom
Space-group type ... No. 14
DFT total energy ... -4.414 eV/atom
Distance to the lowest polymorph of the same formula ... 0.000 eV per atom

Number 5 is which compound?
Dy2ErAl2Ga2

Which of these has the highest calculated formation energy?
DyEr4Al2